Entry 1:
! LuSn2Ge, relaxed, DFT PBE; values from VASP
&SYSTEM
  ibrav = 0, nat = 4, ntyp = 3
/
ATOMIC_SPECIES
Sn 118.71 Sn.upf
Ge 72.64 Ge.upf
Lu 174.97 Lu.upf
CELL_PARAMETERS angstrom
3.366 0.000 0.000
1.683 2.915 0.000
1.683 0.972 11.119
ATOMIC_POSITIONS crystal
Sn 0.907 0.907 0.280
Sn 0.093 0.093 0.720
Ge 0.500 0.500 0.500
Lu 0.000 0.000 0.000
! Distance to the lowest polymorph of the same formula: 0.5154 eV per atom
! V: 109 Å³ per cell
! E_tot: -16.3 eV/cell
! M_tot: 0.0 μB/f.u.


Entry 2:
! Lu2SnGe, relaxed, DFT PBE; values from VASP
&SYSTEM
  ibrav = 0, nat = 4, ntyp = 3
/
ATOMIC_SPECIES
Lu 174.97 Lu.upf
Ge 72.64 Ge.upf
Sn 118.71 Sn.upf
CELL_PARAMETERS angstrom
4.040 0.000 0.000
2.020 3.499 0.000
2.020 1.166 9.114
ATOMIC_POSITIONS crystal
Lu 0.888 0.888 0.335
Lu 0.112 0.112 0.665
Ge 0.500 0.500 0.500
Sn 0.000 0.000 0.000
! V: 129 Å³ per cell
! E_tot: -18.5 eV/cell
! M_tot: 0.0 μB/f.u.


Entry 3:
! Lu2SnGe, relaxed, DFT PBE; values from VASP
&SYSTEM
  ibrav = 0, nat = 4, ntyp = 3
/
ATOMIC_SPECIES
Lu 174.97 Lu.upf
Sn 118.71 Sn.upf
Ge 72.64 Ge.upf
CELL_PARAMETERS angstrom
3.352 0.000 0.000
0.000 3.352 0.000
0.000 0.000 8.321
ATOMIC_POSITIONS crystal
Lu 0.000 0.000 0.775
Lu 0.000 0.000 0.225
Sn 0.500 0.500 0.500
Ge 0.500 0.500 0.000
! V: 93 Å³ per cell
! E_tot: -19.9 eV/cell
! M_tot: 0.0 μB/f.u.


Entry 4:
! SrLuGe2, relaxed, DFT PBE; values from VASP
&SYSTEM
  ibrav = 0, nat = 4, ntyp = 3
/
ATOMIC_SPECIES
Lu 174.97 Lu.upf
Ge 72.64 Ge.upf
Sr 87.62 Sr.upf
CELL_PARAMETERS angstrom
-3.464 -2.363 -2.012
0.816 -4.179 -1.871
-2.129 -4.719 3.833
ATOMIC_POSITIONS crystal
Lu 0.000 0.000 0.000
Ge 0.728 0.728 0.815
Ge 0.272 0.272 0.185
Sr 0.500 0.500 0.500
! V: 110 Å³ per cell
! E_tot: -17.2 eV/cell
! M_tot: 0.0 μB/f.u.


Entry 5:
! TbLuGe, relaxed, DFT PBE; values from VASP
&SYSTEM
  ibrav = 0, nat = 3, ntyp = 3
/
ATOMIC_SPECIES
Lu 174.97 Lu.upf
Tb 158.93 Tb.upf
Ge 72.64 Ge.upf
CELL_PARAMETERS angstrom
-3.009 -1.468 -0.779
1.349 -1.216 -2.919
2.652 -4.028 4.930
ATOMIC_POSITIONS crystal
Lu 0.925 0.925 0.849
Tb 0.639 0.639 0.279
Ge 0.286 0.286 0.572
! Distance to the lowest polymorph of the same formula: 0.0727 eV per atom
! V: 76 Å³ per cell
! E_tot: -15.1 eV/cell
! M_tot: 0.0 μB/f.u.


Entry 6:
! TbLuGe, relaxed, DFT PBE; values from VASP
&SYSTEM
  ibrav = 0, nat = 3, ntyp = 3
/
ATOMIC_SPECIES
Lu 174.97 Lu.upf
Ge 72.64 Ge.upf
Tb 158.93 Tb.upf
CELL_PARAMETERS angstrom
4.119 0.000 0.000
0.000 4.685 0.000
0.000 -2.342 4.057
ATOMIC_POSITIONS crystal
Lu 0.116 0.000 0.000
Ge 0.251 0.333 0.667
Tb 0.633 0.667 0.333
! Distance to the lowest polymorph of the same formula: 0.1174 eV per atom
! V: 78 Å³ per cell
! E_tot: -14.9 eV/cell
! M_tot: 0.0 μB/f.u.


Entry 7:
! LuTcGe, relaxed, DFT PBE; values from VASP
&SYSTEM
  ibrav = 0, nat = 3, ntyp = 3
/
ATOMIC_SPECIES
Ge 72.64 Ge.upf
Tc 98.00 Tc.upf
Lu 174.97 Lu.upf
CELL_PARAMETERS angstrom
-2.891 -1.937 -0.818
1.395 -3.166 2.568
-2.531 3.105 1.588
ATOMIC_POSITIONS crystal
Ge 0.167 0.000 0.000
Tc 0.167 0.333 0.667
Lu 0.667 0.667 0.333
! Distance to the lowest polymorph of the same formula: 0.0720 eV per atom
! V: 57 Å³ per cell
! E_tot: -20.6 eV/cell
! M_tot: 0.0 μB/f.u.


Entry 8:
! LuTcGe2, relaxed, DFT PBE; values from VASP
&SYSTEM
  ibrav = 0, nat = 4, ntyp = 3
/
ATOMIC_SPECIES
Lu 174.97 Lu.upf
Ge 72.64 Ge.upf
Tc 98.00 Tc.upf
CELL_PARAMETERS angstrom
-4.349 1.311 -0.678
-2.436 -1.815 -3.445
-3.441 -2.905 0.902
ATOMIC_POSITIONS crystal
Lu 0.500 0.500 0.500
Ge 0.750 0.750 0.750
Ge 0.250 0.250 0.250
Tc 0.000 0.000 0.000
! Distance to the lowest polymorph of the same formula: 0.0258 eV per atom
! V: 68 Å³ per cell
! E_tot: -25.4 eV/cell
! M_tot: 0.0 μB/f.u.


Copy entry 3 word for word.
! Lu2SnGe, relaxed, DFT PBE; values from VASP
&SYSTEM
  ibrav = 0, nat = 4, ntyp = 3
/
ATOMIC_SPECIES
Lu 174.97 Lu.upf
Sn 118.71 Sn.upf
Ge 72.64 Ge.upf
CELL_PARAMETERS angstrom
3.352 0.000 0.000
0.000 3.352 0.000
0.000 0.000 8.321
ATOMIC_POSITIONS crystal
Lu 0.000 0.000 0.775
Lu 0.000 0.000 0.225
Sn 0.500 0.500 0.500
Ge 0.500 0.500 0.000
! V: 93 Å³ per cell
! E_tot: -19.9 eV/cell
! M_tot: 0.0 μB/f.u.


Q: Among the records above, which one has the highest V?
A: number 2


Please write out number 8 again, unchanged.
! LuTcGe2, relaxed, DFT PBE; values from VASP
&SYSTEM
  ibrav = 0, nat = 4, ntyp = 3
/
ATOMIC_SPECIES
Lu 174.97 Lu.upf
Ge 72.64 Ge.upf
Tc 98.00 Tc.upf
CELL_PARAMETERS angstrom
-4.349 1.311 -0.678
-2.436 -1.815 -3.445
-3.441 -2.905 0.902
ATOMIC_POSITIONS crystal
Lu 0.500 0.500 0.500
Ge 0.750 0.750 0.750
Ge 0.250 0.250 0.250
Tc 0.000 0.000 0.000
! Distance to the lowest polymorph of the same formula: 0.0258 eV per atom
! V: 68 Å³ per cell
! E_tot: -25.4 eV/cell
! M_tot: 0.0 μB/f.u.